Entry 1:
Entry from Alexandria: a relaxed structure of NbN (PBE).

abc: 2.761 2.761 2.761
angles: 90.00 90.00 90.00
Atoms (fractional coordinates):
Nb (0.000, 0.000, 0.000)
N (0.500, 0.500, 0.500)

Summary:
Total energy in eV/atom: -9.61
DOS at the Fermi energy in states/eV/f.u.: 0.984
SG: Pm-3m (221)
Density in g/cm³: 8.44
Formation energy without anion corrections in eV per atom: -0.4078

***

Entry 2:
Entry from Alexandria: a relaxed structure of Nb16N9 (PBE).

abc: 8.190 8.190 8.190
angles: 135.98 114.28 82.51
Atoms (fractional coordinates):
Nb (0.003, 0.252, 0.751)
Nb (0.127, 0.381, 0.254)
Nb (0.127, 0.874, 0.746)
Nb (0.244, 0.000, 0.244)
Nb (0.248, 0.500, 0.748)
Nb (0.378, 0.121, 0.743)
Nb (0.378, 0.636, 0.257)
Nb (0.500, 0.252, 0.249)
Nb (0.500, 0.748, 0.751)
Nb (0.622, 0.364, 0.743)
Nb (0.622, 0.879, 0.257)
Nb (0.752, 0.500, 0.252)
Nb (0.756, 0.000, 0.756)
Nb (0.873, 0.126, 0.254)
Nb (0.873, 0.619, 0.746)
Nb (0.997, 0.748, 0.249)
N (0.000, 0.000, 0.000)
N (0.125, 0.124, 0.500)
N (0.125, 0.625, 0.001)
N (0.376, 0.375, 0.500)
N (0.376, 0.876, 0.001)
N (0.624, 0.124, 0.999)
N (0.624, 0.625, 0.500)
N (0.875, 0.375, 0.999)
N (0.875, 0.876, 0.500)

Summary:
Total energy in eV/atom: -10.24
DOS at the Fermi energy in states/eV/f.u.: 18.380
SG: Immm (71)
Density in g/cm³: 7.97
Formation energy without anion corrections in eV per atom: -0.7933

***

Entry 3:
Entry from Alexandria: a relaxed structure of NbN (PBE).

abc: 8.792 8.792 3.588
angles: 90.00 90.00 90.00
Atoms (fractional coordinates):
Nb (0.097, 0.625, 0.000)
Nb (0.145, 0.289, 0.500)
Nb (0.289, 0.855, 0.500)
Nb (0.375, 0.097, 0.000)
Nb (0.625, 0.903, 0.000)
Nb (0.711, 0.145, 0.500)
Nb (0.855, 0.711, 0.500)
Nb (0.903, 0.375, 0.000)
N (0.079, 0.761, 0.500)
N (0.164, 0.402, 0.000)
N (0.239, 0.079, 0.500)
N (0.402, 0.836, 0.000)
N (0.598, 0.164, 0.000)
N (0.761, 0.921, 0.500)
N (0.836, 0.598, 0.000)
N (0.921, 0.239, 0.500)

Summary:
Total energy in eV/atom: -9.81
DOS at the Fermi energy in states/eV/f.u.: 0.975
SG: P4/m (83)
Density in g/cm³: 5.12
Formation energy without anion corrections in eV per atom: -0.6150

***

Entry 4:
Entry from Alexandria: a relaxed structure of NbN (PBE).

abc: 2.977 2.977 2.899
angles: 90.00 90.00 120.00
Atoms (fractional coordinates):
Nb (0.000, 0.000, 0.000)
N (0.333, 0.667, 0.500)

Summary:
Total energy in eV/atom: -10.29
DOS at the Fermi energy in states/eV/f.u.: 0.138
SG: P-6m2 (187)
Density in g/cm³: 7.98
Formation energy without anion corrections in eV per atom: -1.0882

***

Entry 5:
Entry from Alexandria: a relaxed structure of Nb3N (PBE).

abc: 5.137 5.137 5.137
angles: 147.85 69.02 120.76
Atoms (fractional coordinates):
Nb (0.000, 0.000, 0.000)
Nb (0.316, 0.488, 0.828)
Nb (0.661, 0.488, 0.172)
N (0.659, 0.159, 0.500)

Summary:
Total energy in eV/atom: -9.85
DOS at the Fermi energy in states/eV/f.u.: 2.816
SG: Imm2 (44)
Density in g/cm³: 7.95
Excess energy over the best structure of this formula in the dataset in meV per atom: 385
Formation energy without anion corrections in eV per atom: -0.2136

***

Entry 6:
Entry from Alexandria: a relaxed structure of Nb5N (PBE).

abc: 7.420 7.420 2.873
angles: 90.00 90.00 140.39
Atoms (fractional coordinates):
Nb (0.000, 0.000, 0.000)
Nb (0.197, 0.803, 0.500)
Nb (0.390, 0.610, 0.000)
Nb (0.610, 0.390, 0.000)
Nb (0.803, 0.197, 0.500)
N (0.500, 0.500, 0.500)

Summary:
Total energy in eV/atom: -9.75
DOS at the Fermi energy in states/eV/f.u.: 5.306
SG: Cmmm (65)
Density in g/cm³: 7.88
Formation energy without anion corrections in eV per atom: 0.0268

***

Entry 7:
Entry from Alexandria: a relaxed structure of NbN (PBE).

abc: 5.617 5.617 5.617
angles: 109.47 109.47 109.47
Atoms (fractional coordinates):
Nb (0.000, 0.000, 0.327)
Nb (0.000, 0.327, 0.000)
Nb (0.327, 0.000, 0.000)
Nb (0.673, 0.673, 0.673)
N (0.000, 0.000, 0.686)
N (0.000, 0.686, 0.000)
N (0.314, 0.314, 0.314)
N (0.686, 0.000, 0.000)

Summary:
Total energy in eV/atom: -9.71
DOS at the Fermi energy in states/eV/f.u.: 1.001
SG: I-43m (217)
Density in g/cm³: 5.20
Formation energy without anion corrections in eV per atom: -0.5140

***

Entry 8:
Entry from Alexandria: a relaxed structure of Nb2N (PBE).

abc: 5.343 5.343 5.009
angles: 90.00 90.00 120.00
Atoms (fractional coordinates):
Nb (0.000, 0.333, 0.251)
Nb (0.000, 0.667, 0.749)
Nb (0.333, 0.000, 0.251)
Nb (0.333, 0.333, 0.749)
Nb (0.667, 0.000, 0.749)
Nb (0.667, 0.667, 0.251)
N (0.000, 0.000, 0.500)
N (0.333, 0.667, 0.000)
N (0.667, 0.333, 0.000)

Summary:
Total energy in eV/atom: -10.39
DOS at the Fermi energy in states/eV/f.u.: 1.050
SG: P-31m (162)
Density in g/cm³: 8.04
Formation energy without anion corrections in eV per atom: -0.9005

***

Entry 9:
Entry from Alexandria: a relaxed structure of Nb4N (PBE).

abc: 4.316 4.316 4.316
angles: 90.00 90.00 90.00
Atoms (fractional coordinates):
Nb (0.000, 0.000, 0.000)
Nb (0.000, 0.500, 0.500)
Nb (0.500, 0.000, 0.500)
Nb (0.500, 0.500, 0.000)
N (0.500, 0.500, 0.500)

Summary:
Total energy in eV/atom: -10.11
DOS at the Fermi energy in states/eV/f.u.: 6.170
SG: Pm-3m (221)
Density in g/cm³: 7.96
Formation energy without anion corrections in eV per atom: -0.3861

***

Entry 10:
Entry from Alexandria: a relaxed structure of NbN (PBE).

abc: 6.209 6.209 6.209
angles: 94.28 94.28 148.30
Atoms (fractional coordinates):
Nb (0.121, 0.681, 0.802)
Nb (0.319, 0.121, 0.441)
Nb (0.681, 0.879, 0.559)
Nb (0.879, 0.319, 0.198)
N (0.106, 0.244, 0.350)
N (0.244, 0.894, 0.138)
N (0.756, 0.106, 0.862)
N (0.894, 0.756, 0.650)

Summary:
Total energy in eV/atom: -10.01
DOS at the Fermi energy in states/eV/f.u.: 0.460
SG: I4/m (87)
Density in g/cm³: 5.87
Formation energy without anion corrections in eV per atom: -0.8151

***

Entry 11:
Entry from Alexandria: a relaxed structure of NbN (PBE).

abc: 3.364 10.808 4.798
angles: 90.00 90.00 90.00
Atoms (fractional coordinates):
Nb (0.250, 0.108, 0.052)
Nb (0.250, 0.392, 0.052)
Nb (0.250, 0.750, 0.376)
Nb (0.750, 0.250, 0.624)
Nb (0.750, 0.608, 0.948)
Nb (0.750, 0.892, 0.948)
N (0.250, 0.250, 0.339)
N (0.250, 0.576, 0.195)
N (0.250, 0.924, 0.195)
N (0.750, 0.076, 0.805)
N (0.750, 0.424, 0.805)
N (0.750, 0.750, 0.661)

Summary:
Total energy in eV/atom: -9.90
DOS at the Fermi energy in states/eV/f.u.: 0.626
SG: Pmmn (59)
Density in g/cm³: 6.11
Formation energy without anion corrections in eV per atom: -0.7024

***

Entry 12:
Entry from Alexandria: a relaxed structure of Nb2N3 (PBE).

abc: 5.758 5.758 5.758
angles: 55.00 55.00 55.00
Atoms (fractional coordinates):
Nb (0.146, 0.146, 0.146)
Nb (0.354, 0.354, 0.354)
Nb (0.646, 0.646, 0.646)
Nb (0.854, 0.854, 0.854)
N (0.060, 0.750, 0.440)
N (0.250, 0.560, 0.940)
N (0.440, 0.060, 0.750)
N (0.560, 0.940, 0.250)
N (0.750, 0.440, 0.060)
N (0.940, 0.250, 0.560)

Summary:
Total energy in eV/atom: -9.78
DOS at the Fermi energy in states/eV/f.u.: 2.306
SG: R-3c (167)
Density in g/cm³: 6.35
Formation energy without anion corrections in eV per atom: -0.7578